# YBeTe GGA-PBE optimized geometry
# ΔE_f (raw) ... -0.199 eV/atom
# Calculated total energy ... -27.86 eV for the cell shown
data_YBeTe
_space_group_name_H-M_alt 'I 4 m m'
_space_group_IT_number 107
_space_group_name_Hall 'I 4 -2'
_cell_length_a 3.5982
_cell_length_b 3.5982
_cell_length_c 10.1479
_cell_angle_alpha 90.00
_cell_angle_beta 90.00
_cell_angle_gamma 90.00
loop_
_atom_site_label
_atom_site_fract_x
_atom_site_fract_y
_atom_site_fract_z
Y1 0.0000 0.0000 0.0000
Be1 0.0000 0.0000 0.6924
Te1 0.0000 0.0000 0.3006